(1)
Computed, not measured: a relaxed structure of Gd3Mg3AlTl2 at the PBE level of DFT.

Computed properties:
total magnetic moment	0.000	μB/atom
E	-3.336	eV/atom

Structure (CIF):
```
data_Gd3Mg3AlTl2
_cell_length_a 7.5376
_cell_length_b 7.5376
_cell_length_c 4.6303
_cell_angle_alpha 90.00
_cell_angle_beta 90.00
_cell_angle_gamma 120.00
_space_group_name_H-M_alt 'P -6 2 m'
_space_group_IT_number 189
_space_group_name_Hall 'P -6 -2'
loop_
_atom_site_label
_atom_site_type_symbol
_atom_site_fract_x
_atom_site_fract_y
_atom_site_fract_z
Gd1 Gd 0.0000 0.5731 0.0000
Mg1 Mg 0.0000 0.2359 0.5000
Al1 Al 0.0000 0.0000 0.0000
Tl1 Tl 0.3333 0.6667 0.5000
```

(2)
Computed, not measured: a relaxed structure of Gd3Mg3Al2Tl at the PBE level of DFT.

Computed properties:
total magnetic moment	0.002	μB/atom
E	-3.493	eV/atom

Structure (CIF):
```
data_Gd3Mg3Al2Tl
_cell_length_a 7.4609
_cell_length_b 7.4609
_cell_length_c 4.6072
_cell_angle_alpha 90.00
_cell_angle_beta 90.00
_cell_angle_gamma 120.00
_space_group_name_H-M_alt 'P -6 2 m'
_space_group_IT_number 189
_space_group_name_Hall 'P -6 -2'
loop_
_atom_site_label
_atom_site_type_symbol
_atom_site_fract_x
_atom_site_fract_y
_atom_site_fract_z
Gd1 Gd 0.0000 0.5656 0.0000
Mg1 Mg 0.0000 0.2476 0.5000
Al1 Al 0.3333 0.6667 0.5000
Tl1 Tl 0.0000 0.0000 0.0000
```

(3)
Computed, not measured: a relaxed structure of Gd2YMg4Al2 at the PBE level of DFT.

Computed properties:
total magnetic moment	0.002	μB/atom
E	-3.513	eV/atom

Structure (CIF):
```
data_Gd2YMg4Al2
_cell_length_a 4.583
_cell_length_b 12.992
_cell_length_c 7.529
_cell_angle_alpha 90.00
_cell_angle_beta 90.00
_cell_angle_gamma 90.00
_space_group_name_H-M_alt 'A m m 2'
_space_group_IT_number 38
_space_group_name_Hall 'A 2 -2'
loop_
_atom_site_label
_atom_site_type_symbol
_atom_site_fract_x
_atom_site_fract_y
_atom_site_fract_z
Gd1 Gd 0.000 0.217 0.000
Y1 Y 0.000 0.000 0.348
Mg1 Mg 0.000 0.000 0.781
Mg2 Mg 0.500 0.000 0.032
Mg3 Mg 0.500 0.125 0.657
Al1 Al 0.500 0.166 0.283
```

(4)
Computed, not measured: a relaxed structure of Gd2YMg3Al2Zn at the PBE level of DFT.

Computed properties:
total magnetic moment	0.002	μB/atom
E	-3.571	eV/atom

Structure (CIF):
```
data_Gd2YMg3Al2Zn
_cell_length_a 4.490
_cell_length_b 12.772
_cell_length_c 7.405
_cell_angle_alpha 90.00
_cell_angle_beta 90.00
_cell_angle_gamma 90.00
_space_group_name_H-M_alt 'A m m 2'
_space_group_IT_number 38
_space_group_name_Hall 'A 2 -2'
loop_
_atom_site_label
_atom_site_type_symbol
_atom_site_fract_x
_atom_site_fract_y
_atom_site_fract_z
Gd1 Gd 0.000 0.209 0.000
Y1 Y 0.000 0.000 0.372
Mg1 Mg 0.500 0.000 0.031
Mg2 Mg 0.500 0.121 0.670
Al1 Al 0.500 0.166 0.291
Zn1 Zn 0.000 0.000 0.789
```